DFT (PBE-GGA) results for crystalline PAuS2 at its relaxed geometry.

CIF file:
```
data_PAuS2
_chemical_formula_sum 'P2 Au2 S4'
_symmetry_space_group_name_H-M 'C 1 m 1'
_symmetry_Int_Tables_number 8
_cell_length_a 9.251
_cell_length_b 3.678
_cell_length_c 5.858
_cell_angle_alpha 90.00
_cell_angle_beta 100.45
_cell_angle_gamma 90.00
loop_
_symmetry_equiv_pos_as_xyz
'x,y,z'
'x,-y,z'
'x+1/2,y+1/2,z'
'x+1/2,-y+1/2,z'
loop_
_atom_site_label
_atom_site_type_symbol
_atom_site_fract_x
_atom_site_fract_y
_atom_site_fract_z
P1 P 0.000 0.000 0.000
Au1 Au 0.385 0.000 0.157
S1 S 0.014 0.000 0.656
S2 S 0.314 0.500 0.404
```

Summary:
Magnetic moment in μB per formula unit: 0.0
E_form (uncorrected) in eV per formula unit: 0.37